Y12Ge3N5 | GGA-PBE | optimized geometry

space-group type: Ia-3d
electronic total energy: -0.282 Ha/atom
M_tot: 0.00 μB per cell

Geometry as extended XYZ:
```
80
Lattice="13.256 0.000 0.000 -4.419 12.498 0.000 -4.419 -6.249 10.823" Properties=species:S:1:pos:R:3 pbc="T T T"
Y 8.719 1.328 0.211
Y 6.746 11.170 0.211
Y 9.551 6.309 1.985
Y 2.923 4.499 0.940
Y 5.477 9.555 3.216
Y -5.570 3.306 7.608
Y -1.495 0.060 8.838
Y -0.555 1.025 2.196
Y 9.988 2.942 3.216
Y 0.555 7.984 7.397
Y 6.746 3.606 4.156
Y 2.765 1.735 3.426
Y 5.914 6.189 1.985
Y 4.300 2.278 6.457
Y 2.091 8.527 4.367
Y 5.477 1.811 1.256
Y -1.058 4.438 9.568
Y 8.956 -2.643 6.667
Y -0.714 7.998 0.940
Y -4.300 4.921 10.613
Y 5.133 -1.750 9.883
Y 1.495 1.750 9.883
Y 8.282 0.710 5.201
Y -2.765 7.274 8.627
Y 2.923 7.938 1.045
Y 3.863 -1.735 3.426
Y 1.654 4.514 7.397
Y -2.328 2.643 6.667
Y 1.058 1.132 6.352
Y -1.654 -0.710 5.201
Y -3.863 5.539 5.623
Y -4.537 8.892 4.156
Y 7.686 -4.438 9.568
Y -2.328 -4.921 10.613
Y 1.495 -1.689 9.779
Y 6.073 6.959 5.623
Y -3.268 10.687 1.256
Y -5.133 -0.060 8.838
Y -1.058 -3.306 7.608
Y 7.183 -1.025 2.196
Y 2.328 -2.278 6.457
Y 0.118 3.971 4.367
Y 5.570 -1.132 6.352
Y -0.714 4.560 1.045
Y 5.133 1.689 9.779
Y -1.151 7.380 4.471
Y 4.974 5.224 8.627
Y 3.360 5.117 4.471
N 3.314 2.343 1.353
N 2.209 3.124 5.412
N 5.523 3.124 8.118
N 6.628 0.000 0.000
N 0.000 0.000 0.000
N -4.419 3.124 5.412
N 7.733 -0.781 6.765
N 5.523 5.468 4.059
N 4.419 6.249 0.000
N 1.105 3.906 9.471
N -2.209 -3.124 5.412
N -1.105 3.124 2.706
N -2.209 6.249 0.000
N 4.419 -3.124 5.412
N -1.105 0.781 6.765
N -3.314 7.030 4.059
N 1.105 -3.124 8.118
N 5.523 -3.906 9.471
N 3.314 9.373 2.706
N -1.105 10.155 1.353
Ge 5.523 0.781 4.059
Ge 7.733 8.592 1.353
Ge 1.105 6.249 2.706
Ge 1.105 -0.781 4.059
Ge -3.314 2.343 9.471
Ge 9.942 0.000 2.706
Ge 3.314 7.030 6.765
Ge 7.733 3.906 1.353
Ge -5.523 6.249 8.118
Ge -1.105 5.468 6.765
Ge 3.314 0.000 8.118
Ge -3.314 -2.343 9.471
```